Record 1
# PBE BaTeRhI2, optimized geometry
# Energy relative to the lowest polymorph listed for this composition: 1154 meV per atom
data_BaTeRhI2
_symmetry_space_group_name_H-M 'P 4/m m m'
_symmetry_Int_Tables_number 123
_symmetry_space_group_name_Hall '-P 4 2'
_cell_length_a 6.641
_cell_length_b 6.641
_cell_length_c 6.808
_cell_angle_alpha 90.00
_cell_angle_beta 90.00
_cell_angle_gamma 90.00
loop_
_atom_site_label
_atom_site_fract_x
_atom_site_fract_y
_atom_site_fract_z
_atom_site_occupancy
Ba1 0.000 0.000 0.000 1
Te1 0.000 0.000 0.500 1
Rh1 0.500 0.500 0.500 1
I1 0.000 0.500 0.000 1

Record 2
# PBE NaTiCl2, optimized geometry
# Energy relative to the lowest polymorph listed for this composition: 38 meV per atom
data_NaTiCl2
_symmetry_space_group_name_H-M 'R -3 m'
_symmetry_Int_Tables_number 166
_symmetry_space_group_name_Hall '-R 3 2"'
_cell_length_a 3.6033
_cell_length_b 3.6033
_cell_length_c 24.6551
_cell_angle_alpha 90.00
_cell_angle_beta 90.00
_cell_angle_gamma 120.00
loop_
_atom_site_label
_atom_site_fract_x
_atom_site_fract_y
_atom_site_fract_z
_atom_site_occupancy
Na1 0.0000 0.0000 0.0000 1
Ti1 0.0000 0.0000 0.5000 1
Cl1 0.0000 0.0000 0.4038 1

Record 3
Entry from the Alexandria database: a relaxed LiPm2NpN4 crystal (PBE).

Geometry as CIF:
```
data_LiPm2NpN4
_symmetry_space_group_name_H-M 'F m m 2'
_symmetry_Int_Tables_number 42
_symmetry_space_group_name_Hall 'F 2 -2'
_cell_length_a 6.765
_cell_length_b 10.409
_cell_length_c 6.766
_cell_angle_alpha 90.00
_cell_angle_beta 90.00
_cell_angle_gamma 90.00
loop_
_atom_site_label
_atom_site_fract_x
_atom_site_fract_y
_atom_site_fract_z
_atom_site_occupancy
Li1 0.000 0.000 0.000 1
Pm1 0.250 0.250 0.249 1
Np1 0.000 0.000 0.499 1
N1 0.000 0.200 0.499 1
N2 0.250 0.000 0.249 1
```

Record 4
# PBE Cd2Hg2I, optimized geometry
# Energy relative to the lowest polymorph listed for this composition: 17 meV per atom
data_Cd2Hg2I
_symmetry_space_group_name_H-M 'I 4/m m m'
_symmetry_Int_Tables_number 139
_symmetry_space_group_name_Hall '-I 4 2'
_cell_length_a 5.000
_cell_length_b 5.000
_cell_length_c 12.293
_cell_angle_alpha 90.00
_cell_angle_beta 90.00
_cell_angle_gamma 90.00
loop_
_atom_site_label
_atom_site_fract_x
_atom_site_fract_y
_atom_site_fract_z
_atom_site_occupancy
Cd1 0.000 0.500 0.250 1
Hg1 0.000 0.000 0.115 1
I1 0.000 0.000 0.500 1

Number 1: formation energy from raw total energies 0.401 eV/atom, magnetization 3.01 μB/f.u.. Number 2: formation energy from raw total energies -0.966 eV/atom, magnetization 1.46 μB/f.u.. Number 3: formation energy from raw total energies -1.180 eV/atom, magnetization 1.51 μB/f.u.. Number 4: formation energy from raw total energies -0.031 eV/atom, magnetization 0.00 μB/f.u..